Below is a geometry-optimized CaTaMnN3 structure, with properties calculated at the GGA-PBE level. Values from VASP.

Values from the calculation:
The space group is P2_1/m (11). The density of states at the Fermi level is 2.08 states/eV/f.u. The value obtained for the total magnetization is 0.8 μB per formula unit. Its formation energy (no corrections) is -5.2 eV per formula unit.

Cell and atoms, written as Quantum ESPRESSO input:
```
&SYSTEM
  ibrav = 0, nat = 12, ntyp = 4
/
ATOMIC_SPECIES
Ca 40.08 Ca.upf
Ta 180.95 Ta.upf
Mn 54.94 Mn.upf
N 14.01 N.upf
ATOMIC_POSITIONS crystal
Ca 0.199 0.250 0.169
Ca 0.801 0.750 0.831
Ta 0.322 0.750 0.858
Ta 0.678 0.250 0.142
Mn 0.032 0.250 0.612
Mn 0.968 0.750 0.388
N 0.102 0.250 0.859
N 0.185 0.750 0.593
N 0.451 0.750 0.129
N 0.549 0.250 0.871
N 0.815 0.250 0.407
N 0.898 0.750 0.141
CELL_PARAMETERS angstrom
6.637 0.000 0.000
0.000 3.159 0.000
-2.812 0.000 7.911
```

***

Below is a geometry-optimized Ba2ErGa2S6 structure, with properties calculated at the GGA-PBE level. Values from VASP.

Values from the calculation:
The space group is C2/m (12). The density of states at the Fermi level is 3.76 states/eV/f.u. The value obtained for the total magnetization is 0.0 μB per formula unit. Its formation energy (no corrections) is -15.3 eV per formula unit.

Cell and atoms, written as Quantum ESPRESSO input:
```
&SYSTEM
  ibrav = 0, nat = 11, ntyp = 4
/
ATOMIC_SPECIES
Ba 137.33 Ba.upf
Er 167.26 Er.upf
Ga 69.72 Ga.upf
S 32.06 S.upf
ATOMIC_POSITIONS crystal
Ba 0.200 0.200 0.172
Ba 0.800 0.800 0.828
Er 0.000 0.000 0.500
Ga 0.456 0.456 0.652
Ga 0.544 0.544 0.348
S 0.184 0.711 0.208
S 0.249 0.249 0.589
S 0.289 0.816 0.792
S 0.711 0.184 0.208
S 0.751 0.751 0.411
S 0.816 0.289 0.792
CELL_PARAMETERS angstrom
5.753 -3.622 0.000
5.753 3.622 0.000
-3.062 0.000 7.250
```

***

Below is a geometry-optimized NaCd2CuBi structure, with properties calculated at the GGA-PBE level. Values from VASP.

Values from the calculation:
The space group is P4/mmm (123). The value obtained for the formation energy is 0.083 eV/atom. The density of states at the Fermi level is 2.99 states/eV/f.u. The value obtained for the total magnetization is 0.0 μB per formula unit.

Cell and atoms, written as Quantum ESPRESSO input:
```
&SYSTEM
  ibrav = 0, nat = 5, ntyp = 4
/
ATOMIC_SPECIES
Na 22.99 Na.upf
Cd 112.41 Cd.upf
Cu 63.55 Cu.upf
Bi 208.98 Bi.upf
ATOMIC_POSITIONS crystal
Na 0.000 0.000 0.000
Cd 0.000 0.500 0.500
Cd 0.500 0.000 0.500
Cu 0.500 0.500 0.500
Bi 0.500 0.500 0.000
CELL_PARAMETERS angstrom
5.052 0.000 0.000
0.000 5.052 0.000
0.000 0.000 5.375
```